Entry from the Alexandria database: a relaxed SrCeHo crystal (PBE).

Lattice parameters (Å, degrees): 7.2144 7.2144 9.1186 104.97 104.97 29.39
Last column: magnetic moment on the atom in μB.
Fractional positions:
1 Sr 0.8141 0.8141 0.4380  0.01
2 Sr 0.2720 0.2720 0.8586  0.02
3 Ho 0.5712 0.5712 0.5241  0.07
4 Ho 0.9971 0.9971 0.7996  0.12
5 Ce 0.6142 0.6142 0.1155  0.56
6 Ce 0.9909 0.9909 0.1862  0.52

**Crystal system**: monoclinic
**Space group**: Cm
**Total moment**: 0.815 μB per formula unit
**ΔH_f (0 K)**: 0.9 eV per formula unit

Entry from the Alexandria database: a relaxed YPaF crystal (PBE).

Lattice parameters (Å, degrees): 3.3989 3.3989 13.7820 75.69 75.69 60.01
Fractional positions:
1 Pa 0.2766 0.2766 0.0534
2 Pa 0.4766 0.4766 0.2540
3 Y 0.6681 0.6681 0.4662
4 Y 0.0851 0.0851 0.8411
5 F 0.2680 0.2680 0.5661
6 F 0.4852 0.4852 0.7413

**Crystal system**: trigonal
**E_form (uncorrected)**: -1553 meV/atom
**Space group**: R-3m
**Total moment**: 0.000 μB per formula unit

Entry from the Alexandria database: a relaxed Pu2MnCr crystal (PBE).

Lattice parameters (Å, degrees): 4.7422 4.7422 4.7422 60.00 60.00 60.00
Last column: magnetic moment on the atom in μB.
Fractional positions:
1 Cr 0.0000 0.0000 0.0000  -2.64
2 Mn 0.5000 0.5000 0.5000  -2.85
3 Pu 0.2500 0.2500 0.2500  5.05
4 Pu 0.7500 0.7500 0.7500  5.05

**Crystal system**: cubic
**Space group**: Fm-3m
**Excess energy over the best structure of this formula in the dataset**: 0.0089 eV per atom
**Total moment**: 4.806 μB per formula unit
**ΔH_f (0 K)**: 0.9 eV per formula unit

Entry from the Alexandria database: a relaxed Ce2ReRu3 crystal (PBE).

Lattice parameters (Å, degrees): 5.6419 5.6419 7.9858 90.00 90.00 120.00
Fractional positions:
1 Ce 0.6667 0.3333 0.4325
2 Ce 0.3333 0.6667 0.5675
3 Ce 0.3333 0.6667 0.9325
4 Ce 0.6667 0.3333 0.0675
5 Re 0.0000 0.0000 0.5000
6 Re 0.0000 0.0000 0.0000
7 Ru 0.1681 0.3361 0.2500
8 Ru 0.3361 0.1681 0.7500
9 Ru 0.8319 0.6639 0.7500
10 Ru 0.1681 0.8319 0.2500
11 Ru 0.8319 0.1681 0.7500
12 Ru 0.6639 0.8319 0.2500

**Crystal system**: hexagonal
**Space group**: P6_3/mmc
**Total moment**: 0.000 μB per formula unit
**ΔH_f (0 K)**: -1.7 eV per formula unit